Cd2BiIr2 | PBE | relaxed

Cell: 4.0660 4.0660 12.7304 Å, 90.00 90.00 90.00°
Last column: nearest neighbours and their distance in Å.
Positions (direct):
Cd (0.0000, 0.5000, 0.2500)  4 Ir 2.80, 4 Cd 2.88
Cd (0.0000, 0.5000, 0.7500)  4 Ir 2.80, 4 Cd 2.88
Cd (0.5000, 0.0000, 0.2500)  4 Ir 2.80, 4 Cd 2.88
Cd (0.5000, 0.0000, 0.7500)  4 Ir 2.80, 4 Cd 2.88
Bi (0.0000, 0.0000, 0.0000)  8 Ir 3.14
Bi (0.5000, 0.5000, 0.5000)  8 Ir 3.14
Ir (0.0000, 0.0000, 0.4008)  1 Ir 2.53, 4 Cd 2.80
Ir (0.0000, 0.0000, 0.5992)  1 Ir 2.53, 4 Cd 2.80
Ir (0.5000, 0.5000, 0.0992)  1 Ir 2.53, 4 Cd 2.80
Ir (0.5000, 0.5000, 0.9008)  1 Ir 2.53, 4 Cd 2.80

Results
Energy relative to the lowest polymorph listed for this composition = 83 meV/atom
Formation energy = 0.381 eV/atom
Symmetry = I4/mmm, No. 139



Na3Er2GeO6 | PBE | relaxed

Cell: 5.7468 5.7468 5.8765 Å, 99.24 99.24 120.02°
Last column: nearest neighbours and their distance in Å.
Positions (direct):
Na (0.0000, 0.0000, 0.0000)  6 O 2.49-2.55
Na (0.3425, 0.6575, 0.0000)  6 O 2.43-2.62
Na (0.6575, 0.3425, 0.0000)  6 O 2.43-2.62
Er (0.1671, 0.8329, 0.5000)  6 O 2.27
Er (0.8329, 0.1671, 0.5000)  6 O 2.27
Ge (0.5000, 0.5000, 0.5000)  6 O 2.19
O (0.1091, 0.4307, 0.2902)  1 Ge 2.19, 2 Er 2.27
O (0.2456, 0.2456, 0.7081)  1 Ge 2.19, 2 Er 2.27, 2 Na 2.43
O (0.4307, 0.1091, 0.2902)  1 Ge 2.19, 2 Er 2.27
O (0.5693, 0.8909, 0.7098)  1 Ge 2.19, 2 Er 2.27
O (0.7544, 0.7544, 0.2919)  1 Ge 2.19, 2 Er 2.27, 2 Na 2.43
O (0.8909, 0.5693, 0.7098)  1 Ge 2.19, 2 Er 2.27

Results
Symmetry = C2/m, No. 12



BaSe2Cl | PBE | relaxed

Cell: 8.7240 4.5863 7.1713 Å, 90.00 104.73 90.00°
Last column: nearest neighbours and their distance in Å.
Positions (direct):
Ba (0.0000, 0.0000, 0.0000)  3 Cl 3.08-3.10
Ba (0.5000, 0.5000, 0.0000)  3 Cl 3.08-3.10
Se (0.2424, 0.5000, 0.2958)  1 Se 2.35
Se (0.4938, 0.0000, 0.3679)  1 Se 2.35
Se (0.7424, 0.0000, 0.2958)  1 Se 2.35
Se (0.9938, 0.5000, 0.3679)  1 Se 2.35
Cl (0.2805, 0.0000, 0.8076)  3 Ba 3.08-3.10
Cl (0.7805, 0.5000, 0.8076)  3 Ba 3.08-3.10

Results
Energy relative to the lowest polymorph listed for this composition = 55 meV/atom
Symmetry = Cm, No. 8



CaAlGe2 | PBE | relaxed

Cell: 3.2018 5.9156 8.9034 Å, 90.00 90.00 90.00°
Last column: nearest neighbours and their distance in Å.
Positions (direct):
Ca (0.0000, 0.0000, 0.0000)  8 Ge 3.11-3.13, 2 Ca 3.20, 4 Al 3.37
Ca (0.0000, 0.5000, 0.5000)  8 Ge 3.11-3.13, 2 Ca 3.20, 4 Al 3.37
Al (0.5000, 0.0000, 0.5266)  4 Ge 2.65-2.71
Al (0.5000, 0.5000, 0.0266)  4 Ge 2.65-2.71
Ge (0.5000, 0.2265, 0.2625)  2 Al 2.65-2.71, 1 Ge 2.68
Ge (0.5000, 0.2735, 0.7625)  2 Al 2.65-2.71, 1 Ge 2.68
Ge (0.5000, 0.7265, 0.7625)  2 Al 2.65-2.71, 1 Ge 2.68
Ge (0.5000, 0.7735, 0.2625)  2 Al 2.65-2.71, 1 Ge 2.68

Results
Formation energy = -0.211 eV/atom
Symmetry = Amm2, No. 38



Hf3VCr | PBE | relaxed

Cell: 4.8398 4.8398 4.8398 Å, 90.00 90.00 90.00°
Last column: nearest neighbours and their distance in Å.
Positions (direct):
Hf (0.0000, 0.0000, 0.5000)  2 V 2.42
Hf (0.0000, 0.5000, 0.0000)  2 V 2.42
Hf (0.5000, 0.0000, 0.0000)  2 V 2.42
V (0.0000, 0.0000, 0.0000)  6 Hf 2.42
Cr (0.5000, 0.5000, 0.5000)  12 Hf 3.42

Results
Energy relative to the lowest polymorph listed for this composition = 135 meV/atom
Formation energy = 0.962 eV/atom
Symmetry = Pm-3m, No. 221



AcTh2Ga | PBE | relaxed

Cell: 3.5655 3.5655 35.4982 Å, 90.00 90.00 120.00°
Last column: nearest neighbours and their distance in Å.
Positions (direct):
Ac (0.0000, 0.0000, 0.0000)  2 Th 3.55, 6 Ac 3.57
Ac (0.3333, 0.6667, 0.6667)  2 Th 3.55, 6 Ac 3.57
Ac (0.6667, 0.3333, 0.3333)  2 Th 3.55, 6 Ac 3.57
Th (0.0000, 0.0000, 0.1000)  3 Ga 3.14
Th (0.0000, 0.0000, 0.9000)  3 Ga 3.14
Th (0.3333, 0.6667, 0.5667)  3 Ga 3.14
Th (0.3333, 0.6667, 0.7666)  3 Ga 3.14
Th (0.6667, 0.3333, 0.2334)  3 Ga 3.14
Th (0.6667, 0.3333, 0.4333)  3 Ga 3.14
Ga (0.0000, 0.0000, 0.5000)  6 Th 3.14
Ga (0.3333, 0.6667, 0.1667)  6 Th 3.14
Ga (0.6667, 0.3333, 0.8333)  6 Th 3.14

Results
Energy relative to the lowest polymorph listed for this composition = 257 meV/atom
Formation energy = 0.146 eV/atom
Symmetry = R-3m, No. 166



CeY3O | PBE | relaxed

Cell: 4.9567 4.9567 4.9567 Å, 90.00 90.00 90.00°
Last column: nearest neighbours and their distance in Å.
Positions (direct):
Ce (0.0000, 0.0000, 0.0000)  12 Y 3.50
Y (0.0000, 0.5000, 0.5000)  2 O 2.48
Y (0.5000, 0.0000, 0.5000)  2 O 2.48
Y (0.5000, 0.5000, 0.0000)  2 O 2.48
O (0.5000, 0.5000, 0.5000)  6 Y 2.48

Results
Symmetry = Pm-3m, No. 221



MgSiB2 | PBE | relaxed

Cell: 4.0549 4.0549 12.8096 Å, 90.00 90.00 90.00°
Last column: nearest neighbours and their distance in Å.
Positions (direct):
Mg (0.0000, 0.0000, 0.0000)  4 B 2.47
Mg (0.0000, 0.5000, 0.2500)  4 B 2.47
Mg (0.5000, 0.0000, 0.7500)  4 B 2.47
Mg (0.5000, 0.5000, 0.5000)  4 B 2.47
Si (0.0000, 0.0000, 0.5000)  4 B 1.94
Si (0.0000, 0.5000, 0.7500)  4 B 1.94
Si (0.5000, 0.0000, 0.2500)  4 B 1.94
Si (0.5000, 0.5000, 0.0000)  4 B 1.94
B (0.1078, 0.2500, 0.6250)  2 Si 1.94
B (0.2500, 0.6078, 0.8750)  2 Si 1.94
B (0.2500, 0.8922, 0.3750)  2 Si 1.94
B (0.3922, 0.2500, 0.1250)  2 Si 1.94
B (0.6078, 0.7500, 0.1250)  2 Si 1.94
B (0.7500, 0.1078, 0.3750)  2 Si 1.94
B (0.7500, 0.3922, 0.8750)  2 Si 1.94
B (0.8922, 0.7500, 0.6250)  2 Si 1.94

Results
Energy relative to the lowest polymorph listed for this composition = 425 meV/atom
Symmetry = I-42d, No. 122



ErSi2Mo4 | PBE | relaxed

Cell: 4.4101 12.9939 4.3578 Å, 90.00 90.00 90.00°
Last column: nearest neighbours and their distance in Å.
Positions (direct):
Er (0.0000, 0.0000, 0.0000)  8 Mo 3.31-3.36, 8 Si 3.33
Er (0.5000, 0.5000, 0.0000)  8 Mo 3.31-3.36, 8 Si 3.33
Si (0.0000, 0.4061, 0.5000)  1 Si 2.44, 4 Mo 2.54
Si (0.0000, 0.5939, 0.5000)  1 Si 2.44, 4 Mo 2.54
Si (0.5000, 0.0939, 0.5000)  1 Si 2.44, 4 Mo 2.54
Si (0.5000, 0.9061, 0.5000)  1 Si 2.44, 4 Mo 2.54
Mo (0.0000, 0.1913, 0.5000)  3 Si 2.54-2.79, 4 Mo 2.63-2.68
Mo (0.0000, 0.3050, 0.0000)  2 Si 2.54, 4 Mo 2.63
Mo (0.0000, 0.6950, 0.0000)  2 Si 2.54, 4 Mo 2.63
Mo (0.0000, 0.8087, 0.5000)  3 Si 2.54-2.79, 4 Mo 2.63-2.68
Mo (0.5000, 0.1950, 0.0000)  2 Si 2.54, 4 Mo 2.63
Mo (0.5000, 0.3087, 0.5000)  3 Si 2.54-2.79, 4 Mo 2.63-2.68
Mo (0.5000, 0.6913, 0.5000)  3 Si 2.54-2.79, 4 Mo 2.63-2.68
Mo (0.5000, 0.8050, 0.0000)  2 Si 2.54, 4 Mo 2.63

Results
Symmetry = Cmmm, No. 65



AuI2Br | PBE | relaxed

Cell: 8.4549 8.4549 7.4301 Å, 90.00 90.00 90.00°
Last column: nearest neighbours and their distance in Å.
Positions (direct):
Au (0.0000, 0.0000, 0.0000)  4 I 2.75
Au (0.0000, 0.5000, 0.2500)  4 I 2.75
Au (0.5000, 0.0000, 0.7500)  4 I 2.75
Au (0.5000, 0.5000, 0.5000)  4 I 2.75
I (0.1767, 0.2500, 0.1250)  2 Au 2.75
I (0.2500, 0.6767, 0.3750)  2 Au 2.75
I (0.2500, 0.8233, 0.8750)  2 Au 2.75
I (0.3233, 0.2500, 0.6250)  2 Au 2.75
I (0.6767, 0.7500, 0.6250)  2 Au 2.75
I (0.7500, 0.1767, 0.8750)  2 Au 2.75
I (0.7500, 0.3233, 0.3750)  2 Au 2.75
I (0.8233, 0.7500, 0.1250)  2 Au 2.75
Br (0.0000, 0.0000, 0.5000)  8 I 3.58-3.80, 2 Au 3.72
Br (0.0000, 0.5000, 0.7500)  8 I 3.58-3.80, 2 Au 3.72
Br (0.5000, 0.0000, 0.2500)  8 I 3.58-3.80, 2 Au 3.72
Br (0.5000, 0.5000, 0.0000)  8 I 3.58-3.80, 2 Au 3.72

Results
Energy relative to the lowest polymorph listed for this composition = 223 meV/atom
Symmetry = I-42d, No. 122



CoOsSe2 | PBE | relaxed

Cell: 3.1015 3.1015 27.7980 Å, 90.00 90.00 120.00°
Last column: nearest neighbours and their distance in Å.
Positions (direct):
Co (0.0000, 0.0000, 0.0000)  3 Se 2.25
Co (0.3333, 0.6667, 0.6667)  3 Se 2.25
Co (0.6667, 0.3333, 0.3333)  3 Se 2.25
Os (0.0000, 0.0000, 0.7465)  3 Se 2.43
Os (0.3333, 0.6667, 0.4132)  3 Se 2.43
Os (0.6667, 0.3333, 0.0799)  3 Se 2.43
Se (0.0000, 0.0000, 0.2841)  3 Co 2.25
Se (0.0000, 0.0000, 0.4721)  3 Os 2.43
Se (0.3333, 0.6667, 0.1388)  3 Os 2.43
Se (0.3333, 0.6667, 0.9508)  3 Co 2.25
Se (0.6667, 0.3333, 0.6174)  3 Co 2.25
Se (0.6667, 0.3333, 0.8054)  3 Os 2.43

Results
Energy relative to the lowest polymorph listed for this composition = 274 meV/atom
Symmetry = R3m, No. 160



SmYCo | PBE | relaxed

Cell: 5.8026 3.8063 7.0792 Å, 90.00 93.74 90.00°
Last column: nearest neighbours and their distance in Å.
Positions (direct):
Sm (0.1711, 0.2500, 0.3227)  3 Co 2.76-3.00
Sm (0.8289, 0.7500, 0.6773)  3 Co 2.76-3.00
Y (0.3508, 0.2500, 0.8313)  4 Co 2.79-3.12
Y (0.6492, 0.7500, 0.1687)  4 Co 2.79-3.12
Co (0.1247, 0.7500, 0.0404)  2 Co 2.44
Co (0.8753, 0.2500, 0.9596)  2 Co 2.44

Results
Energy relative to the lowest polymorph listed for this composition = 0 meV/atom
Formation energy = -0.097 eV/atom
Symmetry = P2_1/m, No. 11



Number 1: E -4.306 eV per atom, Fermi-level density of states 3.3 states/eV/f.u.. Number 2: E -6.251 eV per atom, Fermi-level density of states 4.7 states/eV/f.u.. Number 3: E -3.982 eV per atom, Fermi-level density of states 1.2 states/eV/f.u.. Number 4: E -3.955 eV per atom, Fermi-level density of states 1.3 states/eV/f.u.. Number 5: E -8.759 eV per atom, Fermi-level density of states 7.1 states/eV/f.u.. Number 6: E -5.348 eV per atom, Fermi-level density of states 5.4 states/eV/f.u.. Number 7: E -7.030 eV per atom, Fermi-level density of states 11.1 states/eV/f.u.. Number 8: E -4.552 eV per atom, Fermi-level density of states 0.4 states/eV/f.u.. Number 9: E -8.566 eV per atom, Fermi-level density of states 6.9 states/eV/f.u.. Number 10: E -1.815 eV per atom, Fermi-level density of states 3.5 states/eV/f.u.. Number 11: E -6.105 eV per atom, Fermi-level density of states 2.4 states/eV/f.u.. Number 12: E -6.193 eV per atom, Fermi-level density of states 3.8 states/eV/f.u..